# 1
SrAl2Cu | Alexandria via LeMat-Bulk | GGA-PBEsol | relaxed; space group = No. 166; formation energy = -0.21 eV per atom; energy = -15.18 eV for the cell shown
1.0
2.1074 1.2167 5.8063
-2.1074 1.2167 5.8063
0.0000 -2.4334 5.8063
Sr Al Cu
1 2 1
Cartesian
0.0000 0.0000 0.0000 Sr
0.0000 0.0000 3.4993 Al
0.0000 0.0000 13.9195 Al
0.0000 0.0000 8.7094 Cu

# 2
VSiGe | Alexandria via LeMat-Bulk | GGA-PBEsol | relaxed; space group = No. 153; energy = -64.52 eV for the cell shown; formation energy without anion corrections = -1.19 eV/f.u.
1.0
4.6290 0.0000 0.0000
-2.3145 4.0089 0.0000
0.0000 0.0000 6.4354
V Si Ge
3 3 3
Cartesian
-1.1399 2.0145 0.0000 V
1.1399 2.0145 4.2902 V
0.0000 3.9888 2.1451 V
0.0000 1.3203 2.1451 Si
-1.1711 3.3487 4.2902 Si
1.1711 3.3487 0.0000 Si
1.1455 0.6613 0.0000 Ge
3.4836 0.6613 4.2902 Ge
2.3145 2.6862 2.1451 Ge

# 3
CaAlCr | Alexandria via LeMat-Bulk | GGA-PBEsol | relaxed; space group = No. 107; formation energy = 0.51 eV per atom; energy = -14.94 eV for the cell shown
1.0
-1.3899 1.3899 6.7888
1.3899 -1.3899 6.7888
1.3899 1.3899 -6.7888
Ca Al Cr
1 1 1
Cartesian
0.0000 0.0000 0.0000 Ca
0.0000 0.0000 9.3559 Al
0.0000 0.0000 4.3403 Cr

# 4
LaYSc2 | Alexandria via LeMat-Bulk | GGA-PBEsol | relaxed; space group = No. 225; formation energy = 0.08 eV per atom; energy = -25.08 eV for the cell shown; offset from the most stable computed form = 0.12 eV per formula unit
1.0
0.0000 3.8227 3.8227
3.8227 0.0000 3.8227
3.8227 3.8227 0.0000
La Y Sc
1 1 2
Cartesian
0.0000 0.0000 0.0000 La
3.8227 3.8227 3.8227 Y
1.9114 1.9114 1.9114 Sc
5.7341 5.7341 5.7341 Sc

# 5
Ba3CaO | Alexandria via LeMat-Bulk | GGA-PBEsol | relaxed; space group = No. 221; energy = -18.36 eV for the cell shown; formation energy without anion corrections = -4.53 eV/f.u.
1.0
5.6945 0.0000 0.0000
0.0000 5.6945 0.0000
0.0000 0.0000 5.6945
Ba Ca O
3 1 1
Cartesian
0.0000 0.0000 2.8473 Ba
0.0000 2.8473 0.0000 Ba
2.8473 0.0000 0.0000 Ba
2.8473 2.8473 2.8473 Ca
0.0000 0.0000 0.0000 O

# 6
RbInBP2HO9 | Alexandria via LeMat-Bulk | GGA-PBEsol | relaxed; space group = No. 2; energy = -210.48 eV for the cell shown
1.0
5.3428 0.0000 0.0000
1.4375 8.2539 0.0000
0.4299 0.1987 8.4622
Rb In B P H O
2 2 2 4 2 18
Cartesian
1.4983 1.0412 2.7796 Rb
5.7119 7.4114 5.6826 Rb
1.8024 1.9024 6.8714 In
5.4078 6.5503 1.5908 In
3.2243 4.8212 6.1445 B
3.9858 3.6314 2.3177 B
3.0861 6.8664 7.9388 P
2.8362 5.8317 3.5409 P
4.3740 2.6209 4.9213 P
4.1241 1.5863 0.5234 P
1.7528 4.6218 7.5062 H
5.4574 3.8308 0.9560 H
1.7164 6.2462 8.3515 O
1.6264 6.6184 3.0542 O
2.8423 8.0664 7.0082 O
2.1858 4.0338 6.8313 O
2.5613 5.5867 5.0571 O
2.8972 4.4542 2.8163 O
3.5377 7.0102 0.6642 O
3.0563 1.8509 5.0829 O
3.8308 5.7589 7.0985 O
3.3794 2.6937 1.3637 O
4.1539 6.6018 3.3793 O
3.6725 1.4424 7.7980 O
4.3130 3.9985 5.6459 O
4.6489 2.8659 3.4051 O
5.0244 4.4188 1.6309 O
4.3679 0.3862 1.4540 O
5.5838 1.8343 5.4080 O
5.4938 2.2064 0.1107 O

# 7
Zr5Ir3 | Alexandria via LeMat-Bulk | GGA-PBEsol | relaxed; space group = No. 193; formation energy = -0.74 eV per atom; energy = -161.71 eV for the cell shown; offset from the most stable computed form = 0.02 eV per formula unit
1.0
7.9866 0.0000 0.0000
-3.9933 6.9166 0.0000
0.0000 0.0000 5.4345
Zr Ir
10 6
Cartesian
-0.9689 1.6782 1.3586 Zr
-3.0244 5.2384 4.0759 Zr
1.9378 0.0000 1.3586 Zr
0.9689 1.6782 4.0759 Zr
0.0000 4.6111 0.0000 Zr
0.0000 4.6111 2.7173 Zr
3.9933 2.3055 0.0000 Zr
3.9933 2.3055 2.7173 Zr
6.0488 0.0000 4.0759 Zr
3.0244 5.2384 1.3586 Zr
-1.5868 2.7484 4.0759 Ir
-2.4066 4.1683 1.3586 Ir
3.1735 0.0000 4.0759 Ir
1.5868 2.7484 1.3586 Ir
4.8131 0.0000 1.3586 Ir
2.4066 4.1683 4.0759 Ir

# 8
Be2GeBi | Alexandria via LeMat-Bulk | GGA-PBEsol | relaxed; space group = No. 225; formation energy = 0.73 eV per atom; energy = -14.32 eV for the cell shown
1.0
0.0000 3.2427 3.2427
3.2427 0.0000 3.2427
3.2427 3.2427 0.0000
Be Ge Bi
2 1 1
Cartesian
1.6214 1.6214 1.6214 Be
4.8641 4.8641 4.8641 Be
0.0000 0.0000 0.0000 Ge
3.2427 3.2427 3.2427 Bi

# 9
BaReW2 | Alexandria via LeMat-Bulk | GGA-PBEsol | relaxed; space group = No. 99; formation energy = 0.85 eV per atom; energy = -39.68 eV for the cell shown; offset from the most stable computed form = 0.00 eV per formula unit
1.0
3.1322 0.0000 0.0000
0.0000 3.1322 0.0000
0.0000 0.0000 8.3460
Ba Re W
1 1 2
Cartesian
0.0000 0.0000 0.0000 Ba
1.5661 1.5661 2.6255 Re
0.0000 0.0000 4.0300 W
1.5661 1.5661 5.5818 W

# 10
Li2MnCl | Alexandria via LeMat-Bulk | GGA-PBEsol | relaxed; space group = No. 123; energy = -15.95 eV for the cell shown; formation energy without anion corrections = -0.25 eV/f.u.; offset from the most stable computed form = 0.04 eV per formula unit
1.0
4.4037 0.0000 0.0000
0.0000 4.4037 0.0000
0.0000 0.0000 3.2708
Li Mn Cl
2 1 1
Cartesian
0.0000 2.2018 0.0000 Li
2.2018 0.0000 0.0000 Li
0.0000 0.0000 1.6354 Mn
2.2018 2.2018 1.6354 Cl

# 11
Ti3SbSe | Alexandria via LeMat-Bulk | GGA-PBEsol | relaxed; space group = No. 221; energy = -29.46 eV for the cell shown; formation energy without anion corrections = 3.91 eV/f.u.; offset from the most stable computed form = 4.42 eV per formula unit
1.0
5.0362 0.0000 0.0000
0.0000 5.0362 0.0000
0.0000 0.0000 5.0362
Ti Sb Se
3 1 1
Cartesian
0.0000 0.0000 2.5181 Ti
0.0000 2.5181 0.0000 Ti
2.5181 0.0000 0.0000 Ti
0.0000 0.0000 0.0000 Sb
2.5181 2.5181 2.5181 Se

# 12
Tl2PtCl | Alexandria via LeMat-Bulk | GGA-PBEsol | relaxed; space group = No. 12; energy = -15.10 eV for the cell shown; formation energy without anion corrections = -0.87 eV/f.u.; offset from the most stable computed form = 0.21 eV per formula unit
1.0
3.7079 -3.7141 0.0000
3.7079 3.7141 0.0000
-0.2588 0.0000 3.0697
Tl Pt Cl
2 1 1
Cartesian
1.8540 1.8571 0.0000 Tl
1.8540 -1.8571 0.0000 Tl
-0.1294 0.0000 1.5348 Pt
3.5786 0.0000 1.5348 Cl